Record 1
Zr2AsRu at its PBEsol-relaxed geometry, computed with SCAN.

Geometry as CIF:
```
data_Zr2AsRu
_symmetry_space_group_name_H-M 'P 4 m m'
_symmetry_Int_Tables_number 99
_cell_length_a 3.179
_cell_length_b 3.179
_cell_length_c 7.100
_cell_angle_alpha 90.00
_cell_angle_beta 90.00
_cell_angle_gamma 90.00
loop_
_symmetry_equiv_pos_as_xyz
'x,y,z'
'-y,x,z'
'-x,-y,z'
'y,-x,z'
'-x,y,z'
'y,x,z'
'x,-y,z'
'-y,-x,z'
loop_
_atom_site_label
_atom_site_fract_x
_atom_site_fract_y
_atom_site_fract_z
_atom_site_occupancy
Zr1 0.000 0.000 0.000 1
Zr2 0.500 0.500 0.312 1
As1 0.000 0.000 0.574 1
Ru1 0.500 0.500 0.764 1
```

* mass density: 8.29 g cm⁻³
* energy of formation from the pure elements: -0.3876 eV/atom
* electronic total energy: -29.49 eV/atom
* crystal system: tetragonal
* volume: 17.94 Å³/atom

Record 2
SrLiCl2 at its PBEsol-relaxed geometry, computed with SCAN.

Geometry as CIF:
```
data_SrLiCl2
_symmetry_space_group_name_H-M 'I -4 2 d'
_symmetry_Int_Tables_number 122
_symmetry_space_group_name_Hall 'I -4 2bw'
_cell_length_a 6.172
_cell_length_b 6.172
_cell_length_c 12.094
_cell_angle_alpha 90.00
_cell_angle_beta 90.00
_cell_angle_gamma 90.00
loop_
_atom_site_label
_atom_site_fract_x
_atom_site_fract_y
_atom_site_fract_z
_atom_site_occupancy
Sr1 0.000 0.000 0.000 1
Li1 0.000 0.000 0.500 1
Cl1 0.173 0.250 0.625 1
```

* E above lowest polymorph: 73 meV/atom
* mass density: 2.39 g cm⁻³
* ΔE_f (raw): -1.74 eV per atom
* electronic total energy: -11.90 eV/atom
* crystal system: tetragonal
* volume: 28.79 Å³/atom

- What is the formula in the second record?
  SrLiCl2

- Which of these has the highest mass density?
  Zr2AsRu

- The highest electronic total energy belongs to which entry?
  SrLiCl2